[1]
Crystalline Ca3TlBr8 at its relaxed geometry. Source: Alexandria via LeMat-Bulk, functional PBE.

Values from the calculation:
M_tot: 0.00 μB per formula unit
formation energy without anion corrections: -160 kJ/mol of atoms
D(E_F): 3.89 states/eV/cell
space-group type: No. 12

abc: 8.4822 8.4822 8.5627
angles: 119.21 119.21 61.15
Element x y z (fractional)
Ca 0.0000 0.0000 0.0000
Ca 0.0000 0.5000 0.5000
Ca 0.5000 0.0000 0.5000
Tl 0.5000 0.5000 0.0000
Br 0.2341 0.7514 0.7532
Br 0.2434 0.2434 0.2612
Br 0.2488 0.2488 0.7299
Br 0.2486 0.7659 0.2468
Br 0.7514 0.2341 0.7532
Br 0.7512 0.7512 0.2701
Br 0.7566 0.7566 0.7388
Br 0.7659 0.2486 0.2468

=====

[2]
Crystalline KBC at its relaxed geometry. Source: Alexandria via LeMat-Bulk, functional PBE.

Values from the calculation:
M_tot: 0.00 μB per formula unit
D(E_F): 0.00 states/eV/cell
space-group type: No. 194
formation energy: 0.28 eV per atom

abc: 2.8727 2.8727 9.8384
angles: 90.00 90.00 120.00
Element x y z (fractional)
K 0.0000 0.0000 0.0000
K 0.0000 0.0000 0.5000
B 0.3333 0.6667 0.2500
B 0.6667 0.3333 0.7500
C 0.3333 0.6667 0.7500
C 0.6667 0.3333 0.2500

=====

[3]
Crystalline CaMg2Tc at its relaxed geometry. Source: Alexandria via LeMat-Bulk, functional PBE.

Values from the calculation:
M_tot: 1.71 μB per formula unit
D(E_F): 3.19 states/eV/cell
relative energy among the computed polymorphs: 0.21 eV/f.u.
space-group type: No. 99
formation energy: 0.34 eV per atom

abc: 3.3339 3.3339 8.1706
angles: 90.00 90.00 90.00
Element x y z (fractional)
Ca 0.0000 0.0000 0.0000
Mg 0.0000 0.0000 0.5778
Mg 0.5000 0.5000 0.3308
Tc 0.5000 0.5000 0.7543

=====

[4]
Crystalline Ni2OsSe at its relaxed geometry. Source: Alexandria via LeMat-Bulk, functional PBE.

Values from the calculation:
M_tot: 0.00 μB per formula unit
formation energy without anion corrections: 41 kJ/mol of atoms
D(E_F): 4.90 states/eV/cell
space-group type: No. 71

abc: 4.9386 4.9386 4.9386
angles: 145.94 127.91 63.71
Element x y z (fractional)
Ni 0.2305 0.2305 0.0000
Ni 0.7695 0.7695 0.0000
Os 0.5000 0.0000 0.5000
Se 0.0000 0.5000 0.5000

=====

[5]
Crystalline BaReSi2Mo at its relaxed geometry. Source: Alexandria via LeMat-Bulk, functional PBE.

Values from the calculation:
M_tot: 1.74 μB per formula unit
formation energy without anion corrections: 300 kJ/mol of atoms
D(E_F): 6.00 states/eV/cell
space-group type: No. 123

abc: 5.3255 5.3255 5.2180
angles: 90.00 90.00 90.00
Element x y z (fractional)
Ba 0.0000 0.0000 0.0000
Re 0.0000 0.0000 0.5000
Si 0.0000 0.5000 0.0000
Si 0.5000 0.0000 0.0000
Mo 0.5000 0.5000 0.5000

=====

[6]
Crystalline BaMg14Ga at its relaxed geometry. Source: Alexandria via LeMat-Bulk, functional PBE.

Values from the calculation:
M_tot: 0.00 μB per formula unit
D(E_F): 9.22 states/eV/cell
relative energy among the computed polymorphs: 0.00 eV/f.u.
space-group type: No. 38
formation energy: 0.04 eV per atom

abc: 10.4425 6.7033 6.7033
angles: 57.36 90.00 90.00
Element x y z (fractional)
Ba 0.0000 0.0000 0.0000
Mg 0.0000 0.0002 0.4975
Mg 0.0000 0.4975 0.0002
Mg 0.2273 0.6317 0.6317
Mg 0.2594 0.1400 0.6372
Mg 0.2594 0.6372 0.1400
Mg 0.2675 0.1514 0.1514
Mg 0.5000 0.4805 0.4805
Mg 0.5000 0.4863 0.9687
Mg 0.5000 0.9687 0.4863
Mg 0.5000 0.9781 0.9781
Mg 0.7325 0.1514 0.1514
Mg 0.7406 0.1400 0.6372
Mg 0.7406 0.6372 0.1400
Mg 0.7727 0.6317 0.6317
Ga 0.0000 0.4534 0.4534

=====

[7]
Crystalline Ce3TiO6 at its relaxed geometry. Source: Alexandria via LeMat-Bulk, functional PBE.

Values from the calculation:
M_tot: 2.83 μB per formula unit
formation energy without anion corrections: -308 kJ/mol of atoms
D(E_F): 29.62 states/eV/cell
space-group type: No. 148

abc: 6.7045 6.7045 6.7045
angles: 96.87 96.87 96.87
Element x y z (fractional)
Ce 0.0917 0.5997 0.7758
Ce 0.2242 0.9083 0.4003
Ce 0.4003 0.2242 0.9083
Ce 0.5997 0.7758 0.0917
Ce 0.7758 0.0917 0.5997
Ce 0.9083 0.4003 0.2242
Ti 0.0000 0.0000 0.0000
Ti 0.5000 0.5000 0.5000
O 0.0645 0.9296 0.7024
O 0.0704 0.2976 0.9355
O 0.1992 0.5539 0.4375
O 0.2976 0.9355 0.0704
O 0.4375 0.1992 0.5539
O 0.4461 0.5625 0.8008
O 0.5539 0.4375 0.1992
O 0.5625 0.8008 0.4461
O 0.7024 0.0645 0.9296
O 0.8008 0.4461 0.5625
O 0.9296 0.7024 0.0645
O 0.9355 0.0704 0.2976

=====

[8]
Crystalline La3CdOs at its relaxed geometry. Source: Alexandria via LeMat-Bulk, functional PBE.

Values from the calculation:
M_tot: 0.00 μB per formula unit
D(E_F): 7.73 states/eV/cell
relative energy among the computed polymorphs: 0.00 eV/f.u.
space-group type: No. 69
formation energy: -0.24 eV per atom

abc: 9.7481 8.9184 6.1995
angles: 78.02 63.50 38.47
Element x y z (fractional)
La 0.1937 0.5862 0.4138
La 0.2018 0.2018 0.7982
La 0.4138 0.8063 0.1937
La 0.5862 0.1937 0.8063
La 0.7982 0.7982 0.2018
La 0.8063 0.4138 0.5862
Cd 0.2058 0.7942 0.7942
Cd 0.7942 0.2058 0.2058
Os 0.2500 0.2500 0.2500
Os 0.7500 0.7500 0.7500

=====

[9]
Crystalline Ca2ReAu2 at its relaxed geometry. Source: Alexandria via LeMat-Bulk, functional PBE.

Values from the calculation:
M_tot: 1.95 μB per formula unit
D(E_F): 4.77 states/eV/cell
space-group type: No. 139
formation energy: 0.37 eV per atom

abc: 9.0769 9.0769 9.0769
angles: 156.14 156.14 34.00
Element x y z (fractional)
Ca 0.1028 0.1028 0.0000
Ca 0.8972 0.8972 0.0000
Re 0.5000 0.5000 0.0000
Au 0.2500 0.7500 0.5000
Au 0.7500 0.2500 0.5000

=====

[10]
Crystalline Hg2HF2 at its relaxed geometry. Source: Alexandria via LeMat-Bulk, functional PBE.

Values from the calculation:
E: -2.30 eV/atom
M_tot: 0.00 μB per formula unit
D(E_F): 1.00 states/eV/cell
space-group type: No. 2

abc: 3.8143 4.1838 5.8294
angles: 89.45 71.39 80.71
Element x y z (fractional)
Hg 0.0631 0.1744 0.2802
Hg 0.9369 0.8256 0.7198
H 0.0000 0.5000 0.5000
F 0.2730 0.1852 0.8649
F 0.7270 0.8148 0.1351

=====

[11]
Crystalline ZrScRuRh at its relaxed geometry. Source: Alexandria via LeMat-Bulk, functional PBE.

Values from the calculation:
M_tot: 0.00 μB per formula unit
D(E_F): 1.32 states/eV/cell
space-group type: No. 99
formation energy: -0.81 eV per atom

abc: 3.2757 3.2757 6.4427
angles: 90.00 90.00 90.00
Element x y z (fractional)
Zr 0.0000 0.0000 0.0000
Sc 0.0000 0.0000 0.4955
Ru 0.5000 0.5000 0.2443
Rh 0.5000 0.5000 0.7477

=====

[12]
Crystalline Sc8C3Se2 at its relaxed geometry. Source: Alexandria via LeMat-Bulk, functional PBE.

Values from the calculation:
M_tot: 0.00 μB per formula unit
formation energy without anion corrections: -78 kJ/mol of atoms
D(E_F): 10.88 states/eV/cell
relative energy among the computed polymorphs: 0.00 eV/f.u.
space-group type: No. 12

abc: 7.2849 7.2849 5.8884
angles: 106.68 106.68 57.00
Element x y z (fractional)
Sc 0.1009 0.1009 0.7433
Sc 0.1371 0.6629 0.7587
Sc 0.3371 0.8629 0.2413
Sc 0.3968 0.3968 0.2730
Sc 0.6032 0.6032 0.7270
Sc 0.6629 0.1371 0.7587
Sc 0.8629 0.3371 0.2413
Sc 0.8991 0.8991 0.2567
C 0.0000 0.0000 0.0000
C 0.2547 0.7453 0.5000
C 0.7453 0.2547 0.5000
Se 0.2527 0.2527 0.5164
Se 0.7473 0.7473 0.4836